1.
# Rb2CaPS4, relaxed, DFT PBE-GGA
# Size of the total moment: 0.0 μB/f.u.
# Theoretical density: 2.19 g/cm³
# DOS at the Fermi energy: 10.62 states/eV/cell
# Uncorrected formation energy: -0.897 eV per atom
data_Rb2CaPS4
_chemical_formula_sum 'Rb4 Ca2 P2 S8'
_symmetry_space_group_name_H-M 'P 1'
_symmetry_Int_Tables_number 1
_symmetry_space_group_name_Hall 'P 1'
_cell_length_a 6.490
_cell_length_b 7.665
_cell_length_c 12.871
_cell_angle_alpha 83.87
_cell_angle_beta 75.40
_cell_angle_gamma 64.96
loop_
_atom_site_label
_atom_site_type_symbol
_atom_site_fract_x
_atom_site_fract_y
_atom_site_fract_z
Rb1 Rb 0.184 0.000 0.632
Rb2 Rb 0.816 0.000 0.368
Rb3 Rb 0.566 0.500 0.868
Rb4 Rb 0.934 0.500 0.132
Ca1 Ca 0.750 0.500 0.500
Ca2 Ca 0.000 0.000 0.000
P1 P 0.250 0.500 0.500
P2 P 0.500 0.000 0.000
S1 S 0.351 0.812 0.096
S2 S 0.259 0.188 0.904
S3 S 0.838 0.812 0.904
S4 S 0.553 0.188 0.096
S5 S 0.399 0.688 0.404
S6 S 0.491 0.312 0.596
S7 S 0.912 0.688 0.596
S8 S 0.197 0.312 0.404

2.
# RbCaPSe4, relaxed, DFT PBE-GGA
# Size of the total moment: 0.0 μB/f.u.
# Theoretical density: 3.61 g/cm³
# Uncorrected formation energy: -0.970 eV per atom
data_RbCaPSe4
_chemical_formula_sum 'Rb2 Ca2 P2 Se8'
_symmetry_space_group_name_H-M 'P 1'
_symmetry_Int_Tables_number 1
_symmetry_space_group_name_Hall 'P 1'
_cell_length_a 6.836
_cell_length_b 7.068
_cell_length_c 9.444
_cell_angle_alpha 90.00
_cell_angle_beta 107.91
_cell_angle_gamma 90.00
loop_
_atom_site_label
_atom_site_type_symbol
_atom_site_fract_x
_atom_site_fract_y
_atom_site_fract_z
Rb1 Rb 0.749 0.750 0.936
Rb2 Rb 0.251 0.250 0.064
Ca1 Ca 0.763 0.750 0.451
Ca2 Ca 0.237 0.250 0.549
P1 P 0.204 0.750 0.326
P2 P 0.796 0.250 0.674
Se1 Se 0.006 0.500 0.714
Se2 Se 0.994 0.000 0.286
Se3 Se 0.994 0.500 0.286
Se4 Se 0.006 0.000 0.714
Se5 Se 0.397 0.750 0.175
Se6 Se 0.603 0.250 0.825
Se7 Se 0.397 0.750 0.563
Se8 Se 0.603 0.250 0.437

3.
# RbSr2CaP, relaxed, DFT PBE-GGA
# Size of the total moment: 1.1 μB/f.u.
# Theoretical density: 2.47 g/cm³
# DOS at the Fermi energy: 4.70 states/eV/cell
# Formation energy from the elements: -0.370 eV/atom
data_RbSr2CaP
_chemical_formula_sum 'Rb1 Sr2 Ca1 P1'
_symmetry_space_group_name_H-M 'P 1'
_symmetry_Int_Tables_number 1
_symmetry_space_group_name_Hall 'P 1'
_cell_length_a 6.187
_cell_length_b 6.187
_cell_length_c 5.815
_cell_angle_alpha 90.00
_cell_angle_beta 90.00
_cell_angle_gamma 90.00
loop_
_atom_site_label
_atom_site_type_symbol
_atom_site_fract_x
_atom_site_fract_y
_atom_site_fract_z
Sr1 Sr 0.000 0.500 0.000
Sr2 Sr 0.500 0.000 0.000
Ca1 Ca 0.000 0.000 0.500
Rb1 Rb 0.500 0.500 0.500
P1 P 0.000 0.000 0.000

4.
# RbSrCa2P, relaxed, DFT PBE-GGA
# Size of the total moment: 1.4 μB/f.u.
# Theoretical density: 2.25 g/cm³
# DOS at the Fermi energy: 4.27 states/eV/cell
# Formation energy from the elements: -0.354 eV/atom
data_RbSrCa2P
_chemical_formula_sum 'Rb1 Sr1 Ca2 P1'
_symmetry_space_group_name_H-M 'P 1'
_symmetry_Int_Tables_number 1
_symmetry_space_group_name_Hall 'P 1'
_cell_length_a 5.826
_cell_length_b 5.826
_cell_length_c 6.170
_cell_angle_alpha 90.00
_cell_angle_beta 90.00
_cell_angle_gamma 90.00
loop_
_atom_site_label
_atom_site_type_symbol
_atom_site_fract_x
_atom_site_fract_y
_atom_site_fract_z
Sr1 Sr 0.000 0.000 0.500
Ca1 Ca 0.000 0.500 0.000
Ca2 Ca 0.500 0.000 0.000
Rb1 Rb 0.500 0.500 0.500
P1 P 0.000 0.000 0.000

5.
# RbCaTaP2, relaxed, DFT PBE-GGA
# Size of the total moment: 3.7 μB/f.u.
# Theoretical density: 3.89 g/cm³
# DOS at the Fermi energy: 4.84 states/eV/cell
# Formation energy from the elements: 2.021 eV/atom
data_RbCaTaP2
_chemical_formula_sum 'Rb1 Ca1 Ta1 P2'
_symmetry_space_group_name_H-M 'P 1'
_symmetry_Int_Tables_number 1
_symmetry_space_group_name_Hall 'P 1'
_cell_length_a 5.455
_cell_length_b 5.287
_cell_length_c 5.455
_cell_angle_alpha 90.00
_cell_angle_beta 90.00
_cell_angle_gamma 90.00
loop_
_atom_site_label
_atom_site_type_symbol
_atom_site_fract_x
_atom_site_fract_y
_atom_site_fract_z
P1 P 0.000 0.000 0.500
P2 P 0.500 0.000 0.000
Ca1 Ca 0.500 0.500 0.500
Rb1 Rb 0.000 0.000 0.000
Ta1 Ta 0.000 0.500 0.000

6.
# RbCa2TeP, relaxed, DFT PBE-GGA
# Size of the total moment: 0.5 μB/f.u.
# Theoretical density: 2.35 g/cm³
# DOS at the Fermi energy: 7.64 states/eV/cell
# Uncorrected formation energy: 1.032 eV per atom
data_RbCa2TeP
_chemical_formula_sum 'Rb1 Ca2 Te1 P1'
_symmetry_space_group_name_H-M 'P 1'
_symmetry_Int_Tables_number 1
_symmetry_space_group_name_Hall 'P 1'
_cell_length_a 6.265
_cell_length_b 5.831
_cell_length_c 6.265
_cell_angle_alpha 90.00
_cell_angle_beta 90.00
_cell_angle_gamma 90.00
loop_
_atom_site_label
_atom_site_type_symbol
_atom_site_fract_x
_atom_site_fract_y
_atom_site_fract_z
P1 P 0.500 0.500 0.500
Ca1 Ca 0.000 0.000 0.500
Ca2 Ca 0.500 0.000 0.000
Te1 Te 0.000 0.500 0.000
Rb1 Rb 0.000 0.000 0.000

Please write out number 3 again, unchanged.
# RbSr2CaP, relaxed, DFT PBE-GGA
# Size of the total moment: 1.1 μB/f.u.
# Theoretical density: 2.47 g/cm³
# DOS at the Fermi energy: 4.70 states/eV/cell
# Formation energy from the elements: -0.370 eV/atom
data_RbSr2CaP
_chemical_formula_sum 'Rb1 Sr2 Ca1 P1'
_symmetry_space_group_name_H-M 'P 1'
_symmetry_Int_Tables_number 1
_symmetry_space_group_name_Hall 'P 1'
_cell_length_a 6.187
_cell_length_b 6.187
_cell_length_c 5.815
_cell_angle_alpha 90.00
_cell_angle_beta 90.00
_cell_angle_gamma 90.00
loop_
_atom_site_label
_atom_site_type_symbol
_atom_site_fract_x
_atom_site_fract_y
_atom_site_fract_z
Sr1 Sr 0.000 0.500 0.000
Sr2 Sr 0.500 0.000 0.000
Ca1 Ca 0.000 0.000 0.500
Rb1 Rb 0.500 0.500 0.500
P1 P 0.000 0.000 0.000